# Sr2PbI6

Crystalline Sr2PbI6 at its relaxed geometry (PBE, Alexandria).

Lattice parameters (Å, degrees): 7.7240 7.7240 14.8630 90.00 90.00 90.00
Last column: nearest neighbours and their distance in Å.
Fractional coordinates of all 18 atoms:
Sr 0.0000 0.0000 0.3332  6 I 3.29-3.31
Sr 0.5000 0.5000 0.8332  6 I 3.29-3.31
Sr 0.5000 0.5000 0.1668  6 I 3.29-3.31
Sr 0.0000 0.0000 0.6668  6 I 3.29-3.31
Pb 0.0000 0.0000 0.0000  6 I 3.26-3.28
Pb 0.5000 0.5000 0.5000  6 I 3.26-3.28
I 0.3034 0.3034 0.3349  1 Pb 3.26, 2 Sr 3.29-3.31
I 0.6966 0.6966 0.3349  1 Pb 3.26, 2 Sr 3.29-3.31
I 0.1966 0.8034 0.8349  1 Pb 3.26, 2 Sr 3.29-3.31
I 0.8034 0.1966 0.8349  1 Pb 3.26, 2 Sr 3.29-3.31
I 0.1966 0.8034 0.1651  1 Pb 3.26, 2 Sr 3.29-3.31
I 0.8034 0.1966 0.1651  1 Pb 3.26, 2 Sr 3.29-3.31
I 0.3034 0.3034 0.6651  1 Pb 3.26, 2 Sr 3.29-3.31
I 0.6966 0.6966 0.6651  1 Pb 3.26, 2 Sr 3.29-3.31
I 0.3003 0.3003 0.0000  1 Pb 3.28, 2 Sr 3.30
I 0.6997 0.6997 0.0000  1 Pb 3.28, 2 Sr 3.30
I 0.1997 0.8003 0.5000  1 Pb 3.28, 2 Sr 3.30
I 0.8003 0.1997 0.5000  1 Pb 3.28, 2 Sr 3.30

Values from the calculation:
Its theoretical density is 4.28 g cm⁻³. The value obtained for the magnetization is 0.00 Bohr magnetons per cell. The calculation puts the relative energy among the computed polymorphs at 0.31 eV/f.u. The calculation puts the calculated total energy at -56.54 eV for the cell shown.